[1]
TlZnTc2Te PBE relaxed; mass density = 6.15 g/cm³; uncorrected energy = -3.502 eV per atom
1.0
5.290 0.000 0.000
0.000 5.290 0.000
0.000 0.000 5.723
Tl Zn Tc Te
1 1 2 1
Direct
0.000 0.000 0.000
0.500 0.500 0.500
0.000 0.500 0.000
0.500 0.000 0.000
0.000 0.000 0.500



[2]
CdSbPt14 PBE relaxed; mass density = 18.82 g/cm³; uncorrected energy = -5.657 eV per atom
1.0
9.656 0.000 0.000
0.000 2.811 4.820
0.000 -2.811 4.820
Cd Sb Pt
1 1 14
Direct
0.000 0.000 0.000
0.000 0.500 0.500
0.000 0.000 0.500
0.000 0.500 0.000
0.250 0.252 0.745
0.250 0.745 0.252
0.252 0.246 0.246
0.253 0.751 0.751
0.500 0.499 0.499
0.500 0.499 0.999
0.500 0.999 0.499
0.500 0.999 0.999
0.747 0.751 0.751
0.748 0.246 0.246
0.750 0.252 0.745
0.750 0.745 0.252



[3]
Cs2PuGaTe4 PBE relaxed; mass density = 5.42 g/cm³; uncorrected energy = -4.738 eV per atom
1.0
-4.655 4.655 3.850
4.655 -4.655 3.850
4.655 4.655 -3.850
Cs Pu Ga Te
2 1 1 4
Direct
0.000 0.500 0.500
0.500 0.000 0.500
0.000 0.000 0.000
0.500 0.500 0.000
0.123 0.123 0.676
0.447 0.447 0.324
0.553 0.877 0.000
0.877 0.553 0.000



What are the raw formation energy values for these records? In order: 10.00, -0.91, -6.27 eV/f.u..